No. 1
Entry from Alexandria: an optimized crystal structure of Ce2TmScS6 (GGA-PBE).

```
Ce2TmScS6
1.0
3.471 2.004 6.015
-3.471 2.004 6.015
0.000 -4.008 6.015
Ce Tm Sc S
2 1 1 6
direct
0.000 0.000 0.000
0.499 0.499 0.499
0.207 0.207 0.207
0.705 0.705 0.705
0.068 0.432 0.831
0.338 0.920 0.579
0.432 0.831 0.068
0.579 0.338 0.920
0.831 0.068 0.432
0.920 0.579 0.338
```

Output
E_form (uncorrected)	-1944	meV per atom
M_tot	2.0	μB per cell

No. 2
Entry from Alexandria: an optimized crystal structure of CeTm2ScS6 (GGA-PBE).

```
CeTm2ScS6
1.0
3.414 1.971 6.092
-3.414 1.971 6.092
0.000 -3.942 6.092
Ce Tm Sc S
1 2 1 6
direct
0.000 0.000 0.000
0.291 0.291 0.291
0.798 0.798 0.798
0.490 0.490 0.490
0.094 0.673 0.417
0.211 0.585 0.880
0.417 0.094 0.673
0.585 0.880 0.211
0.673 0.417 0.094
0.880 0.211 0.585
```

Output
E_form (uncorrected)	-1962	meV per atom
M_tot	1.0	μB per cell